VASP calculation (PBE+U) on a relaxed structure of NbWNF2.

abc: 4.2422 4.2422 4.1518
angles: 90.00 90.00 90.00
Fractional positions:
Nb: 0.0000 0.0000 0.0000
W: 0.5000 0.5000 0.5000
N: 0.0000 0.0000 0.5000
F: 0.0000 0.5000 0.0000
F: 0.5000 0.0000 0.0000

## Properties
As for the crystal system: tetragonal. For the energy above the most stable polymorph in this dataset, the calculation gives 0 meV per atom. As for the electronic total energy: -32.23 eV/cell.